# Cd2TeIr | Alexandria via LeMat-Bulk | GGA-PBE | optimized geometry
data_Cd2TeIr
_chemical_formula_sum 'Cd4 Te2 Ir2'
_cell_length_a 5.809
_cell_length_b 8.611
_cell_length_c 3.301
_cell_angle_alpha 90.00
_cell_angle_beta 90.00
_cell_angle_gamma 90.00
_space_group_name_H-M_alt 'C m m m'
_space_group_IT_number 65
_space_group_name_Hall '-C 2 2'
loop_
_atom_site_label
_atom_site_fract_x
_atom_site_fract_y
_atom_site_fract_z
Cd1 0.250 0.250 0.000
Te1 0.000 0.000 0.500
Ir1 0.000 0.500 0.500
# VASP energy (eV per atom): -3.142
# Size of the total moment (μB/f.u.): 0.00